1.
Material: Be2Ru2I
Method: DFT, PBE-GGA
State: relaxed

Unit cell a=6.825 b=6.825 c=3.050 alpha=90.00 beta=90.00 gamma=90.00
Positions (direct):
Be 0.120 0.380 0.000
Be 0.380 0.880 0.000
Be 0.620 0.120 0.000
Be 0.880 0.620 0.000
Ru 0.154 0.654 0.500
Ru 0.346 0.154 0.500
Ru 0.654 0.846 0.500
Ru 0.846 0.346 0.500
I 0.000 0.000 0.500
I 0.500 0.500 0.500

Computed properties:
Crystal system = tetragonal
Fermi-level density of states = 12.93 states/eV per cell
V = 142 Å³/cell
E_tot = -5.058 eV per atom
Formation energy (no corrections) = 0.45 eV/atom
Magnetization = 0.000 μB/atom


2.
Material: Be3RuI
Method: DFT, PBE-GGA
State: relaxed

Unit cell a=4.356 b=4.356 c=4.356 alpha=90.00 beta=90.00 gamma=90.00
Positions (direct):
Be 0.000 0.000 0.500
Be 0.000 0.500 0.000
Be 0.500 0.000 0.000
Ru 0.000 0.000 0.000
I 0.500 0.500 0.500

Computed properties:
Crystal system = cubic
Fermi-level density of states = 3.19 states/eV per cell
V = 83 Å³/cell
E_tot = -3.554 eV per atom
Formation energy (no corrections) = 0.85 eV/atom
Magnetization = 0.000 μB/atom


3.
Material: BeRu2I
Method: DFT, PBE-GGA
State: relaxed

Unit cell a=8.528 b=8.528 c=8.528 alpha=152.14 beta=152.14 gamma=39.81
Positions (direct):
Be 0.000 0.000 0.000
Be 0.750 0.250 0.500
Ru 0.071 0.625 0.946
Ru 0.375 0.321 0.446
Ru 0.679 0.125 0.054
Ru 0.875 0.929 0.554
I 0.250 0.750 0.500
I 0.500 0.500 0.000

Computed properties:
Crystal system = tetragonal
Fermi-level density of states = 11.58 states/eV per cell
V = 135 Å³/cell
E_tot = -5.188 eV per atom
Formation energy (no corrections) = 0.77 eV/atom
Magnetization = 0.000 μB/atom